Entry from Alexandria via LeMat-Bulk: an optimized crystal structure of TeAsPtSe2 (PBE).

a = 5.095 Å, b = 5.095 Å, c = 4.745 Å
α = 90.00°, β = 90.00°, γ = 90.00°
Fractional positions:
Te  0.000  0.000  0.000
As  0.500  0.500  0.000
Pt  0.500  0.500  0.500
Se  0.000  0.500  0.500
Se  0.500  0.000  0.500

## Properties
The calculation puts the uncorrected formation energy at 0.415 eV/atom. The space-group type is P4/mmm, No. 123. The value obtained for the excess energy over the best structure of this formula in the dataset is 0.0 meV per atom.